[1]
12
Lattice="-2.128 4.290 6.128 7.216 -2.901 0.070 4.765 6.146 0.053" Properties=species:S:1:pos:R:3 comment="SrZnCl4, optimized geometry, DFT PBE" de_polymorph_mev_per_atom=0 e_tot_ev_per_cell=-42.36 sg="No. 141" density_g_cm3=2.74 formation_energy_uncorrected_mev_per_atom=-1806.2 pbc="T T T"
Sr 3.840 3.478 5.419
Sr 6.013 4.058 0.832
Zn 8.558 4.753 3.931
Zn 1.295 2.783 2.320
Cl 8.879 4.836 1.667
Cl 6.350 4.155 3.896
Cl 0.802 0.865 1.174
Cl 0.974 2.700 4.583
Cl 7.118 1.284 1.238
Cl 9.051 6.671 5.077
Cl 3.503 3.381 2.355
Cl 2.735 6.252 5.013

[2]
4
Lattice="-4.956 1.720 -0.532 -4.037 -3.263 0.926 -3.023 0.690 4.265" Properties=species:S:1:pos:R:3 comment="SrZnCl2, optimized geometry, DFT PBE" de_polymorph_mev_per_atom=415 e_tot_ev_per_cell=-11.27 sg="No. 216" density_g_cm3=3.59 formation_energy_uncorrected_mev_per_atom=-1155.2 pbc="T T T"
Sr -6.008 -0.427 2.329
Zn -9.012 -0.640 3.494
Cl 0.000 0.000 0.000
Cl -3.004 -0.213 1.165